# NdUN3

A relaxed NdUN3 crystal (PBE, the Alexandria database).

Values from the calculation:
space group	Cmcm, No. 63
uncorrected energy	-46.5	eV per formula unit
formation energy without anion corrections	-5.52	eV/f.u.
total magnetization	0.000	μB/atom

The structure in POSCAR format:
```
NdUN3
1.0
-2.337 -3.179 1.047
3.527 1.735 5.177
-4.650 4.019 1.821
Nd U N
2 2 6
Direct
0.704 0.908 0.250
0.296 0.092 0.750
0.984 0.469 0.250
0.016 0.531 0.750
0.866 0.232 0.988
0.134 0.768 0.488
0.494 0.489 0.750
0.506 0.511 0.250
0.134 0.768 0.012
0.866 0.232 0.512
```

=====

# YAg2H

A relaxed YAg2H crystal (PBE, the Alexandria database).

Values from the calculation:
E above lowest polymorph	98	kJ/mol of formula units
space group	Fm-3m, No. 225
uncorrected energy	-13.9	eV per formula unit
total magnetization	0.000	μB/atom

The structure in POSCAR format:
```
YAg2H
1.0
0.932 -3.808 2.783
2.527 0.546 4.053
-2.172 -0.449 4.266
Y H Ag
1 1 2
Direct
0.500 0.500 0.500
0.000 0.000 0.000
0.250 0.250 0.250
0.750 0.750 0.750
```